1.
Below is crystalline Ca2PtCl8 at its relaxed geometry, with properties calculated at the PBE level.

As for the crystal system: monoclinic. The energy relative to the elements, uncorrected comes out at -1.435 eV per atom. The value obtained for the magnetic moment is 0.0 μB/f.u.

The space group is C2/m (No. 12) and the conventional cell measures 14.374, 6.297 and 6.834 Å, with angles of 90.00, 90.77 and 90.00 degrees. The asymmetric unit holds Ca at (0.137, 0.000, 0.036), Pt at (0.000, 0.000, 0.500), Cl at (0.023, 0.245, 0.754), Cl at (0.161, 0.000, 0.439) and Cl at (0.187, 0.500, 0.058).

2.
Below is crystalline NaPrZnAu at its relaxed geometry, with properties calculated at the PBE level.

As for the crystal system: cubic. The value obtained for the magnetic moment is 0.0 μB/f.u. As for the energy of formation from the pure elements: -1.40 eV per formula unit.

The space group is F-43m (No. 216) and the conventional cell measures 7.232, 7.232 and 7.232 Å, with angles of 90.00, 90.00 and 90.00 degrees. The asymmetric unit holds Na at (0.000, 0.000, 0.000), Pr at (0.000, 0.000, 0.500), Zn at (0.250, 0.250, 0.750) and Au at (0.250, 0.250, 0.250).

3.
Below is crystalline SnPdRhSe2 at its relaxed geometry, with properties calculated at the PBE level.

As for the crystal system: tetragonal. The energy relative to the elements, uncorrected comes out at 0.265 eV per atom. The value obtained for the magnetic moment is 0.0 μB/f.u.

The space group is P4/mmm (No. 123) and the conventional cell measures 4.753, 4.753 and 5.150 Å, with angles of 90.00, 90.00 and 90.00 degrees. The asymmetric unit holds Sn at (0.000, 0.000, 0.000), Pd at (0.500, 0.500, 0.000), Rh at (0.500, 0.500, 0.500) and Se at (0.000, 0.500, 0.500).